[1]
## Re2TeI (GGA-PBE)

Data for a relaxed structure of Re2TeI.

## Properties
Crystal system: cubic
Raw formation energy: 1.311 eV per atom
Raw total energy: -0.4473 Ry per atom
Fermi-level density of states: 0.938 states/eV per atom
Energy above the lowest structure with this stoichiometry: 0.0 kJ/mol of formula units
Mass density: 14.043 g/cm³

abc: 6.6683 6.6683 6.6683
angles: 90.00 90.00 90.00
Last column: nearest neighbours and their distance in Å.
Space group Fm-3m (No. 225)
One atom of each set of equivalent atoms:
1 Re 0.2500 0.2500 0.2500 x8  4 Te 2.89, 4 I 2.89
2 Te 0.0000 0.0000 0.0000 x4  8 Re 2.89
3 I 0.0000 0.0000 0.5000 x4  8 Re 2.89

=====

[2]
## EuEr2As (GGA-PBE)

Data for a relaxed structure of EuEr2As.

## Properties
Crystal system: trigonal
Raw total energy: -0.4763 Ry per atom
Fermi-level density of states: 0.978 states/eV per atom
Mass density: 7.004 g/cm³

abc: 3.8415 3.8415 31.2435
angles: 90.00 90.00 120.00
Last column: nearest neighbours and their distance in Å.
Space group R-3m (No. 166, hexagonal axes)
One atom of each set of equivalent atoms:
1 Eu 0.0000 0.0000 0.0000 x3  2 Er 3.53, 6 Eu 3.84
2 Er 0.0000 0.0000 0.1129 x6  3 As 2.78
3 As 0.0000 0.0000 0.5000 x3  6 Er 2.78

=====

[3]
## Li3CeSm2Se6 (GGA-PBE)

Data for a relaxed structure of Li3CeSm2Se6.

## Properties
Crystal system: monoclinic
Raw formation energy: -1.650 eV per atom
Raw total energy: -0.3786 Ry per atom
Fermi-level density of states: 0.465 states/eV per atom
Mass density: 5.268 g/cm³

abc: 7.2303 12.5260 6.9412
angles: 90.00 110.28 90.00
Last column: nearest neighbours and their distance in Å.
Space group C2/m (No. 12)
One atom of each set of equivalent atoms:
1 Li 0.0000 0.0000 0.0000 x2  6 Se 2.86-2.89
2 Li 0.0000 0.3315 0.0000 x4  6 Se 2.85-2.90
3 Ce 0.0000 0.5000 0.5000 x2  6 Se 2.95
4 Sm 0.0000 0.1665 0.5000 x4  6 Se 2.93
5 Se 0.2463 0.1678 0.2418 x8  3 Li 2.85-2.89, 2 Sm 2.93, 1 Ce 2.95
6 Se 0.2505 0.0000 0.7584 x4  3 Li 2.86-2.90, 2 Sm 2.93, 1 Ce 2.95

=====

[4]
## LiZnTe2 (GGA-PBE)

Data for a relaxed structure of LiZnTe2.

## Properties
Crystal system: tetragonal
Raw formation energy: -0.133 eV per atom
Raw total energy: -0.1838 Ry per atom
Fermi-level density of states: 0.512 states/eV per atom
Mass density: 5.238 g/cm³

abc: 3.1519 3.1519 10.4523
angles: 90.00 90.00 90.00
Last column: nearest neighbours and their distance in Å.
Space group P4mm (No. 99)
One atom of each set of equivalent atoms:
1 Li 0.0000 0.0000 0.0000 x1  4 Zn 2.99, 4 Te 3.04, 4 Li 3.15
2 Zn 0.5000 0.5000 0.8089 x1  4 Li 2.99, 4 Zn 3.15, 4 Te 3.23
3 Te 0.0000 0.0000 0.5857 x1  4 Te 3.15, 4 Zn 3.23
4 Te 0.5000 0.5000 0.1972 x1  4 Li 3.04, 4 Te 3.15